Here is an optimized crystal structure of SrNi2W from Alexandria via LeMat-Bulk. Energies are from PBE-GGA.

```
4
Lattice="-2.1462 -0.3047 -3.5022 1.3438 -2.8340 -0.5770 -3.6818 -3.9030 2.5958" Properties=species:S:1:pos:R:3 pbc="T T T"
Ni -3.2751 -4.1770 2.3703
Ni -1.6763 -1.2316 -1.2876
Sr -1.0058 -3.1326 0.8889
W -3.3779 -5.7721 0.1502
```

Results
Space group ... Pm
Energy of formation from the pure elements ... 497 meV/atom
Crystal system ... monoclinic